Cs2KAgI6: relaxed, GGA-PBE.

Output
V, Å³ per cell: 485.1
Space group: No. 139
Energy, eV per atom: -2.3323
Crystal system: tetragonal

Lattice parameters (Å, degrees): 8.8262 8.8262 8.8165 59.96 59.96 90.00
Positions (direct):
Ag1 0.0000 0.0000 0.0000
I1 0.2311 0.2311 0.5377
Cs1 0.2500 0.7500 0.5000
I2 0.7689 0.7689 0.4623
Cs2 0.7500 0.2500 0.5000
I3 0.7682 0.7682 0.0000
I4 0.2318 0.2318 0.0000
K1 0.5000 0.5000 0.0000
I5 0.7682 0.2318 0.0000
I6 0.2318 0.7682 0.0000



SbTe2O3F6: relaxed, GGA-PBE.

Output
V, Å³ per cell: 227.2
Space group: No. 12
Energy, eV per atom: -4.7196
Crystal system: monoclinic

Lattice parameters (Å, degrees): 6.5068 6.3830 8.8766 111.07 134.49 90.00
Positions (direct):
Te1 0.2321 0.6725 0.3450
Te2 0.7679 0.3275 0.6550
O1 0.0000 0.5000 0.0000
F1 0.6099 0.9199 0.8397
F2 0.1927 0.1038 0.7786
F3 0.8073 0.8962 0.2214
Sb1 0.5000 0.0000 0.0000
O2 0.5000 0.0000 0.5000
F4 0.1927 0.6748 0.7786
O3 0.5000 0.5000 0.5000
F5 0.8073 0.3252 0.2214
F6 0.3901 0.0801 0.1603



LaPm2Pr8: relaxed, GGA-PBE.

Output
V, Å³ per cell: 412.3
Excess energy over the best structure of this formula in the dataset, eV/atom: 0.036
Space group: No. 12
Energy, eV per atom: -4.6536
Crystal system: monoclinic

Lattice parameters (Å, degrees): 5.8015 10.5232 10.5232 40.02 93.29 93.29
Positions (direct):
Pr1 0.7609 0.4554 0.4554
Pr2 0.2673 0.1361 0.6009
Pr3 0.2673 0.6009 0.1361
Pr4 0.2317 0.1869 0.1869
Pr5 0.7327 0.8639 0.3991
Pr6 0.2391 0.5446 0.5446
Pm1 0.7429 0.2839 0.2839
Pr7 0.7683 0.8131 0.8131
Pr8 0.7327 0.3991 0.8639
La1 0.0000 0.0000 0.0000
Pm2 0.2571 0.7161 0.7161